# HfInS2 (PBE, relaxed)
# D(E_F) = 3.475 states/eV/f.u.
# final energy = -47.5 eV/cell
data_HfInS2
_chemical_formula_sum 'Hf2 In2 S4'
_cell_length_a 7.274
_cell_length_b 7.274
_cell_length_c 7.274
_cell_angle_alpha 125.02
_cell_angle_beta 125.02
_cell_angle_gamma 81.51
_symmetry_space_group_name_H-M 'P 1'
_symmetry_Int_Tables_number 1
loop_
_symmetry_equiv_pos_as_xyz
'x,y,z'
loop_
_atom_site_label
_atom_site_type_symbol
_atom_site_fract_x
_atom_site_fract_y
_atom_site_fract_z
_atom_site_occupancy
Hf1 Hf 0.000 0.000 0.000 1
Hf2 Hf 0.750 0.250 0.500 1
In1 In 0.250 0.750 0.500 1
In2 In 0.500 0.500 0.000 1
S1 S 0.032 0.625 0.907 1
S2 S 0.375 0.282 0.407 1
S3 S 0.718 0.125 0.093 1
S4 S 0.875 0.968 0.593 1

=====

# HfInS2 (PBE, relaxed)
# D(E_F) = 1.040 states/eV/f.u.
# final energy = -197.8 eV/cell
data_HfInS2
_chemical_formula_sum 'Hf8 In8 S16'
_cell_length_a 6.565
_cell_length_b 6.565
_cell_length_c 18.480
_cell_angle_alpha 99.83
_cell_angle_beta 99.83
_cell_angle_gamma 91.79
_symmetry_space_group_name_H-M 'P 1'
_symmetry_Int_Tables_number 1
loop_
_symmetry_equiv_pos_as_xyz
'x,y,z'
loop_
_atom_site_label
_atom_site_type_symbol
_atom_site_fract_x
_atom_site_fract_y
_atom_site_fract_z
_atom_site_occupancy
Hf1 Hf 0.086 0.833 0.669 1
Hf2 Hf 0.158 0.405 0.814 1
Hf3 Hf 0.167 0.914 0.831 1
Hf4 Hf 0.405 0.158 0.314 1
Hf5 Hf 0.595 0.842 0.686 1
Hf6 Hf 0.833 0.086 0.169 1
Hf7 Hf 0.842 0.595 0.186 1
Hf8 Hf 0.914 0.167 0.331 1
In1 In 0.211 0.707 0.413 1
In2 In 0.293 0.296 0.087 1
In3 In 0.293 0.789 0.087 1
In4 In 0.296 0.293 0.587 1
In5 In 0.704 0.707 0.413 1
In6 In 0.707 0.211 0.913 1
In7 In 0.707 0.704 0.913 1
In8 In 0.789 0.293 0.587 1
S1 S 0.102 0.898 0.250 1
S2 S 0.121 0.374 0.250 1
S3 S 0.146 0.692 0.926 1
S4 S 0.230 0.281 0.426 1
S5 S 0.281 0.230 0.926 1
S6 S 0.308 0.854 0.574 1
S7 S 0.355 0.645 0.750 1
S8 S 0.374 0.121 0.750 1
S9 S 0.626 0.879 0.250 1
S10 S 0.645 0.355 0.250 1
S11 S 0.692 0.146 0.426 1
S12 S 0.719 0.770 0.074 1
S13 S 0.770 0.719 0.574 1
S14 S 0.854 0.308 0.074 1
S15 S 0.879 0.626 0.750 1
S16 S 0.898 0.102 0.750 1